Material: HgP2Ir
Method: DFT, PBE
State: optimized geometry

The calculation puts the total energy at -4.255 eV per atom.

```
data_HgP2Ir
_chemical_formula_sum 'Hg2 P4 Ir2'
_symmetry_space_group_name_H-M 'I -4 m 2'
_symmetry_Int_Tables_number 119
_symmetry_space_group_name_Hall 'I -4 -2'
_cell_length_a 3.987
_cell_length_b 3.987
_cell_length_c 8.286
_cell_angle_alpha 90.00
_cell_angle_beta 90.00
_cell_angle_gamma 90.00
loop_
_atom_site_label
_atom_site_type_symbol
_atom_site_fract_x
_atom_site_fract_y
_atom_site_fract_z
Hg1 Hg 0.000 0.000 0.000
P1 P 0.000 0.000 0.500
P2 P 0.000 0.500 0.250
Ir1 Ir 0.000 0.500 0.750
```